Record 1
First-principles (PBE-GGA) data for an optimized crystal structure of Ba3LiPr2Te6, as listed in the Alexandria database.

- Raw formation energy: -18.43 eV/f.u.

a b c (Å): 8.175 8.175 8.277
angles (deg): 99.49 99.49 119.99
Fractional positions:
Ba  0.000  0.000  0.000
Ba  0.333  0.667  0.000
Ba  0.667  0.333  0.000
Li  0.500  0.500  0.500
Pr  0.167  0.833  0.500
Pr  0.833  0.167  0.500
Te  0.095  0.426  0.278
Te  0.243  0.243  0.722
Te  0.426  0.095  0.278
Te  0.574  0.905  0.722
Te  0.757  0.757  0.278
Te  0.905  0.574  0.722

Record 2
First-principles (PBE-GGA) data for an optimized crystal structure of Mg5Ga4Hg, as listed in the Alexandria database.

- Energy of formation from the pure elements: -0.153 eV per atom

a b c (Å): 3.327 3.327 17.908
angles (deg): 90.00 90.00 90.00
Fractional positions:
Mg  0.000  0.000  0.000
Mg  0.000  0.000  0.199
Mg  0.000  0.000  0.396
Mg  0.000  0.000  0.604
Mg  0.000  0.000  0.801
Ga  0.500  0.500  0.099
Ga  0.500  0.500  0.296
Ga  0.500  0.500  0.704
Ga  0.500  0.500  0.901
Hg  0.500  0.500  0.500

Number 1: calculated total energy -54.52 eV per cell, magnetization 0.0 μB/cell. Number 2: calculated total energy -21.92 eV per cell, magnetization 0.0 μB/cell.